# MnRhPb (PBE, relaxed)
# - space-group type = No. 107
# - formation energy (eV per atom) = 0.1293
# - E (eV for the cell shown) = -19.8
# - theoretical density (g/cm³) = 11.200
data_MnRhPb
_chemical_formula_sum 'Mn1 Rh1 Pb1'
_cell_length_a 5.1021
_cell_length_b 5.1021
_cell_length_c 5.1021
_cell_angle_alpha 140.12
_cell_angle_beta 140.12
_cell_angle_gamma 57.67
_symmetry_space_group_name_H-M 'P 1'
_symmetry_Int_Tables_number 1
loop_
_symmetry_equiv_pos_as_xyz
'x,y,z'
loop_
_atom_site_label
_atom_site_type_symbol
_atom_site_fract_x
_atom_site_fract_y
_atom_site_fract_z
Mn1 Mn 0.0000 0.0000 0.0000
Rh1 Rh 0.3578 0.3578 0.0000
Pb1 Pb 0.6829 0.6829 0.0000

---

# AlH2O2 (PBE, relaxed)
# - space-group type = No. 139
# - energy above the most stable polymorph in this dataset (meV per atom) = 803
# - E (eV for the cell shown) = -21.0
# - theoretical density (g/cm³) = 3.074
data_AlH2O2
_chemical_formula_sum 'Al1 H2 O2'
_cell_length_a 4.9776
_cell_length_b 4.9776
_cell_length_c 4.9776
_cell_angle_alpha 148.82
_cell_angle_beta 148.82
_cell_angle_gamma 44.67
_symmetry_space_group_name_H-M 'P 1'
_symmetry_Int_Tables_number 1
loop_
_symmetry_equiv_pos_as_xyz
'x,y,z'
loop_
_atom_site_label
_atom_site_type_symbol
_atom_site_fract_x
_atom_site_fract_y
_atom_site_fract_z
Al1 Al 0.0000 0.0000 0.0000
H1 H 0.2500 0.7500 0.5000
H2 H 0.7500 0.2500 0.5000
O1 O 0.3522 0.3522 0.0000
O2 O 0.6478 0.6478 0.0000

---

# Cd3SnPb (PBE, relaxed)
# - space-group type = No. 221
# - energy above the most stable polymorph in this dataset (meV per atom) = 374
# - formation energy (eV per atom) = 0.4248
# - E (eV for the cell shown) = -8.3
# - theoretical density (g/cm³) = 6.447
data_Cd3SnPb
_chemical_formula_sum 'Cd3 Sn1 Pb1'
_cell_length_a 5.5484
_cell_length_b 5.5484
_cell_length_c 5.5484
_cell_angle_alpha 90.00
_cell_angle_beta 90.00
_cell_angle_gamma 90.00
_symmetry_space_group_name_H-M 'P 1'
_symmetry_Int_Tables_number 1
loop_
_symmetry_equiv_pos_as_xyz
'x,y,z'
loop_
_atom_site_label
_atom_site_type_symbol
_atom_site_fract_x
_atom_site_fract_y
_atom_site_fract_z
Cd1 Cd 0.0000 0.0000 0.5000
Cd2 Cd 0.0000 0.5000 0.0000
Cd3 Cd 0.5000 0.0000 0.0000
Sn1 Sn 0.0000 0.0000 0.0000
Pb1 Pb 0.5000 0.5000 0.5000